12
Lattice="-2.0829 -0.5270 4.2698 4.2991 -0.0766 2.0878 -0.2568 7.5400 0.8054" Properties=species:S:1:pos:R:3 comment="HgF2 (PBE-GGA, optimized geometry)" polymorph_energy_mev_per_atom=68 mass_density_g_cm3=9.14 space_group="P4_12_12, No. 92" pbc="T T T"
F 2.0654 3.3998 2.7913
F -0.3558 3.6047 3.6548
F 0.7202 1.6091 1.2579
F 1.2520 4.9524 5.8650
Hg 0.6237 1.5535 3.5238
F 2.4310 -0.0634 3.1455
F -0.2215 6.9317 4.7343
F 2.0873 1.6081 5.2562
Hg 0.0176 3.7302 0.8214
Hg 2.0703 -0.5639 5.9389
F -0.1406 5.7031 1.9467
Hg 1.3358 5.3828 3.6391

=====

3
Lattice="1.8993 1.0966 3.3657 -1.8993 1.0966 3.3657 0.0000 -2.1932 3.3657" Properties=species:S:1:pos:R:3 comment="HgF2 (PBE-GGA, optimized geometry)" polymorph_energy_mev_per_atom=3 mass_density_g_cm3=9.42 space_group="R-3m, No. 166" pbc="T T T"
F 0.0000 0.0000 7.6045
F 0.0000 0.0000 2.4927
Hg 0.0000 0.0000 0.0000

=====

6
Lattice="-0.9621 -1.7675 3.0830 3.2014 -2.9164 -0.6730 4.0035 4.3389 0.2421" Properties=species:S:1:pos:R:3 comment="HgF2 (PBE-GGA, optimized geometry)" polymorph_energy_mev_per_atom=57 mass_density_g_cm3=9.57 space_group="P2_1/c, No. 14" pbc="T T T"
F 4.2022 1.3404 0.6819
Hg 2.0017 2.1694 0.1210
Hg 1.6007 -1.4582 -0.3365
F 5.4702 -0.8166 1.7912
F 2.0407 -1.6854 1.9703
F 0.7727 0.4716 0.8609